First-principles (PBE-GGA) data for crystalline La3CdBr at its relaxed geometry, as listed in the Alexandria database.

Its crystal system is cubic. For the raw total energy, the calculation gives -3.817 eV per atom. Its uncorrected formation energy is -1.713 eV/f.u. The value obtained for the energy above the most stable polymorph in this dataset is 0.00 eV per formula unit. The total moment is 0.0 μB per formula unit. The mass density comes out at 5584 kg/m³.

The structure belongs to space group Pm-3m (No. 221); the cell edges are 5.6578, 5.6578 and 5.6578 Å and the angles 90.00°, 90.00° and 90.00°. The asymmetric unit holds La at (0.0000, 0.0000, 0.5000), Cd at (0.5000, 0.5000, 0.5000) and Br at (0.0000, 0.0000, 0.0000).